Crystalline Cs2Sb2Pd at its relaxed geometry. Source: the Alexandria database, functional PBE.

```
Cs2Sb2Pd
1.0
-2.509 -4.801 -4.786
5.569 1.451 -4.374
3.466 -4.667 2.865
Pd Sb Cs
2 4 4
Cartesian
1.530 -1.675 -4.580
0.000 0.000 0.000
-0.809 -2.888 -3.727
3.869 -0.462 -5.434
1.452 -3.166 -6.913
1.609 -0.185 -2.247
5.049 -2.190 -2.345
4.646 -4.369 -5.406
1.478 -5.828 -3.951
1.881 -3.649 -0.889
```

Properties
* formation energy (no corrections): -29.74 kJ/mol of atoms
* space group: P4/mbm
* raw total energy: -0.123 hartree per atom
* total moment: 0.000 μB/f.u.

---

Crystalline CsSb2Pd3 at its relaxed geometry. Source: the Alexandria database, functional PBE.

```
CsSb2Pd3
1.0
4.276 0.000 0.000
-2.138 8.390 0.183
0.000 -3.602 8.727
Cs Pd Sb
2 6 4
Cartesian
2.138 2.385 8.412
0.000 2.403 0.498
0.000 3.332 4.901
0.000 -0.656 3.455
2.138 5.445 5.454
2.138 1.456 4.008
0.000 5.732 3.367
2.138 -0.943 5.542
2.138 -0.324 1.961
2.138 4.041 3.242
0.000 0.748 5.668
0.000 5.112 6.949
```

Properties
* formation energy (no corrections): -41.38 kJ/mol of atoms
* space group: C2/m
* raw total energy: -0.167 hartree per atom
* total moment: 0.000 μB/f.u.

---

Crystalline Cs3SbPd at its relaxed geometry. Source: the Alexandria database, functional PBE.

```
Cs3SbPd
1.0
9.270 0.000 0.000
0.000 9.270 0.000
0.000 0.000 9.270
Sb Cs Pd
4 12 4
Cartesian
6.254 6.254 6.254
1.619 7.651 3.016
7.651 3.016 1.619
3.016 1.619 7.651
8.727 3.638 7.304
6.601 0.543 8.273
2.669 5.177 5.631
8.273 6.601 0.543
5.177 5.631 2.669
4.092 0.997 1.966
0.997 1.966 4.092
0.543 8.273 6.601
1.966 4.092 0.997
7.304 8.727 3.638
5.631 2.669 5.177
3.638 7.304 8.727
3.820 8.455 5.450
0.815 0.815 0.815
8.455 5.450 3.820
5.450 3.820 8.455
```

Properties
* formation energy (no corrections): -0.54 kJ/mol of atoms
* space group: P2_13
* raw total energy: -0.087 hartree per atom
* total moment: 0.000 μB/f.u.
* E above lowest polymorph: 0.00 eV/f.u.

---

Crystalline CsSbPd at its relaxed geometry. Source: the Alexandria database, functional PBE.

```
CsSbPd
1.0
-0.377 -4.451 2.623
6.899 -3.657 -5.214
6.644 1.759 3.941
Sb Pd Cs
4 4 4
Cartesian
3.868 -2.529 -1.177
2.525 -2.872 3.164
10.640 -3.478 -1.813
9.296 -3.820 2.528
3.085 -1.169 1.019
9.856 -2.117 0.383
10.080 -5.181 0.332
3.309 -4.232 0.968
6.659 -4.987 0.169
6.506 -1.362 1.182
6.634 -4.071 -3.395
6.531 -2.279 4.746
```

Properties
* formation energy (no corrections): -38.21 kJ/mol of atoms
* space group: P2_1/m
* raw total energy: -0.139 hartree per atom
* total moment: 0.000 μB/f.u.
* E above lowest polymorph: 0.16 eV/f.u.

---

Crystalline CsSbPd3 at its relaxed geometry. Source: the Alexandria database, functional PBE.

```
CsSbPd3
1.0
5.243 0.000 0.000
0.000 5.243 0.000
0.000 0.000 5.243
Pd Cs Sb
3 1 1
Cartesian
0.000 0.000 2.621
2.621 0.000 0.000
0.000 2.621 0.000
0.000 0.000 0.000
2.621 2.621 2.621
```

Properties
* formation energy (no corrections): 125.37 kJ/mol of atoms
* space group: Pm-3m
* raw total energy: -0.103 hartree per atom
* total moment: 0.000 μB/f.u.
* E above lowest polymorph: 7.74 eV/f.u.

---

Crystalline CsSb2Pd at its relaxed geometry. Source: the Alexandria database, functional PBE.

```
CsSb2Pd
1.0
4.339 0.000 0.000
2.169 3.758 0.000
2.169 1.253 9.533
Cs Pd Sb
1 1 2
Cartesian
0.000 0.000 0.000
4.339 2.505 4.766
2.169 1.253 5.853
6.508 3.758 3.679
```

Properties
* formation energy (no corrections): -20.53 kJ/mol of atoms
* space group: R-3m
* raw total energy: -0.139 hartree per atom
* total moment: 0.000 μB/f.u.
* E above lowest polymorph: 0.77 eV/f.u.